! NiBiI2O PBE with a Hubbard U optimized geometry; values from VASP
&SYSTEM
  ibrav = 0, nat = 5, ntyp = 4
/
ATOMIC_SPECIES
Ni 58.69 Ni.upf
Bi 208.98 Bi.upf
I 126.90 I.upf
O 16.00 O.upf
CELL_PARAMETERS angstrom
5.872 0.000 0.000
0.000 5.872 0.000
0.000 0.000 3.644
ATOMIC_POSITIONS crystal
Ni 0.000 0.000 0.000
Bi 0.500 0.500 0.500
I 0.000 0.500 0.000
I 0.500 0.000 0.000
O 0.000 0.000 0.500
! Mass density (g/cm3): 7.103
! SG: No. 123
! E_tot (eV per atom): -2.850
! Polymorph energy (0 for the lowest one) (meV/atom): 0.0